{
  "formula": "KAgAsS2",
  "functional": "PBE",
  "state": "optimized geometry",
  "space_group": "Cmme (67)",
  "volume_a3_per_atom": 27.16,
  "total_energy_ev_per_fu": -18.11,
  "lattice": [[3.814, -7.676, 0.000], [3.814, 7.676, 0.000], [0.000, 0.000, 4.639]],
  "species": ["K", "K", "Ag", "Ag", "As", "As", "S", "S", "S", "S"],
  "frac_coords": [[0.250, 0.750, 0.858], [0.750, 0.250, 0.142], [0.000, 0.000, 0.000], [0.500, 0.500, 0.000], [0.250, 0.250, 0.500], [0.750, 0.750, 0.500], [0.112, 0.888, 0.375], [0.388, 0.612, 0.375], [0.612, 0.388, 0.625], [0.888, 0.112, 0.625]]
}

{
  "formula": "K5Ag2As3Se9",
  "functional": "PBE",
  "state": "optimized geometry",
  "space_group": "Pnma (62)",
  "volume_a3_per_atom": 30.89,
  "total_energy_ev_per_fu": -68.61,
  "lattice": [[12.879, 0.000, 0.000], [0.000, 12.774, 0.000], [0.000, 0.000, 14.268]],
  "species": ["K", "K", "K", "K", "K", "K", "K", "K", "K", "K", "K", "K", "K", "K", "K", "K", "K", "K", "K", "K", "Ag", "Ag", "Ag", "Ag", "Ag", "Ag", "Ag", "Ag", "As", "As", "As", "As", "As", "As", "As", "As", "As", "As", "As", "As", "Se", "Se", "Se", "Se", "Se", "Se", "Se", "Se", "Se", "Se", "Se", "Se", "Se", "Se", "Se", "Se", "Se", "Se", "Se", "Se", "Se", "Se", "Se", "Se", "Se", "Se", "Se", "Se", "Se", "Se", "Se", "Se", "Se", "Se", "Se", "Se"],
  "frac_coords": [[0.019, 0.079, 0.173], [0.019, 0.421, 0.173], [0.173, 0.750, 0.509], [0.174, 0.076, 0.506], [0.174, 0.424, 0.506], [0.326, 0.576, 0.006], [0.326, 0.924, 0.006], [0.327, 0.250, 0.009], [0.481, 0.579, 0.673], [0.481, 0.921, 0.673], [0.519, 0.079, 0.327], [0.519, 0.421, 0.327], [0.673, 0.750, 0.991], [0.674, 0.076, 0.994], [0.674, 0.424, 0.994], [0.826, 0.576, 0.494], [0.826, 0.924, 0.494], [0.827, 0.250, 0.491], [0.981, 0.579, 0.827], [0.981, 0.921, 0.827], [0.241, 0.588, 0.289], [0.241, 0.912, 0.289], [0.259, 0.088, 0.789], [0.259, 0.412, 0.789], [0.741, 0.588, 0.211], [0.741, 0.912, 0.211], [0.759, 0.088, 0.711], [0.759, 0.412, 0.711], [0.020, 0.250, 0.912], [0.028, 0.250, 0.720], [0.250, 0.250, 0.298], [0.250, 0.750, 0.798], [0.472, 0.750, 0.220], [0.480, 0.750, 0.412], [0.520, 0.250, 0.588], [0.528, 0.250, 0.780], [0.750, 0.250, 0.202], [0.750, 0.750, 0.702], [0.972, 0.750, 0.280], [0.980, 0.750, 0.088], [0.042, 0.596, 0.350], [0.042, 0.904, 0.350], [0.076, 0.250, 0.347], [0.124, 0.101, 0.936], [0.124, 0.399, 0.936], [0.143, 0.750, 0.934], [0.209, 0.250, 0.679], [0.214, 0.599, 0.705], [0.214, 0.901, 0.705], [0.286, 0.099, 0.205], [0.286, 0.401, 0.205], [0.291, 0.750, 0.179], [0.357, 0.250, 0.434], [0.376, 0.601, 0.436], [0.376, 0.899, 0.436], [0.424, 0.750, 0.847], [0.458, 0.096, 0.850], [0.458, 0.404, 0.850], [0.542, 0.596, 0.150], [0.542, 0.904, 0.150], [0.576, 0.250, 0.153], [0.624, 0.101, 0.564], [0.624, 0.399, 0.564], [0.643, 0.750, 0.566], [0.709, 0.250, 0.821], [0.714, 0.599, 0.795], [0.714, 0.901, 0.795], [0.786, 0.099, 0.295], [0.786, 0.401, 0.295], [0.791, 0.750, 0.321], [0.857, 0.250, 0.066], [0.876, 0.601, 0.064], [0.876, 0.899, 0.064], [0.924, 0.750, 0.653], [0.958, 0.096, 0.650], [0.958, 0.404, 0.650]]
}

{
  "formula": "KAgAs2Se",
  "functional": "PBE",
  "state": "optimized geometry",
  "polymorph_energy_ev_per_fu": 0.00,
  "space_group": "P4/mmm (123)",
  "volume_a3_per_atom": 28.07,
  "lattice": [[5.086, 0.000, 0.000], [0.000, 5.086, 0.000], [0.000, 0.000, 5.427]],
  "species": ["K", "Ag", "As", "As", "Se"],
  "frac_coords": [[0.000, 0.000, 0.000], [0.500, 0.500, 0.500], [0.000, 0.500, 0.500], [0.500, 0.000, 0.500], [0.500, 0.500, 0.000]]
}